Compound: PmPr2Nd
Source: Alexandria via LeMat-Bulk
Functional: PBE-GGA
Structure: optimized geometry

Unit cell a=3.704 b=3.704 c=12.192 alpha=81.26 beta=81.26 gamma=60.00
Fractional positions:
Pm1 0.667 0.667 0.999
Pr1 0.083 0.083 0.752
Pr2 0.250 0.250 0.249
Nd1 0.500 0.500 0.501

## Properties
ΔH_f (0 K) ... 0.01 eV per atom
Raw total energy ... -4.755 eV/atom
SG ... R3m, No. 160



Compound: Pm2Pr8Nd
Source: Alexandria via LeMat-Bulk
Functional: PBE-GGA
Structure: optimized geometry

Unit cell a=6.843 b=10.569 c=10.569 alpha=38.13 beta=59.75 gamma=59.75
Fractional positions:
Pm1 0.589 0.801 0.801
Pm2 0.411 0.199 0.199
Pr1 0.234 0.350 0.825
Pr2 0.766 0.175 0.650
Pr3 0.171 0.756 0.756
Pr4 0.829 0.244 0.244
Pr5 0.234 0.825 0.350
Pr6 0.766 0.650 0.175
Pr7 0.730 0.592 0.592
Pr8 0.270 0.408 0.408
Nd1 0.000 0.000 0.000

## Properties
ΔH_f (0 K) ... 0.15 eV per atom
Raw total energy ... -4.624 eV/atom
SG ... C2/m, No. 12



Compound: Pm3Pr4Nd
Source: Alexandria via LeMat-Bulk
Functional: PBE-GGA
Structure: optimized geometry

Unit cell a=7.363 b=7.363 c=10.447 alpha=90.00 beta=90.00 gamma=90.00
Fractional positions:
Pr1 0.000 0.811 0.000
Pr2 0.500 0.310 0.000
Pr3 0.750 0.061 0.750
Pr4 0.250 0.561 0.750
Pr5 0.500 0.810 0.500
Pr6 0.000 0.311 0.500
Pr7 0.250 0.561 0.250
Pr8 0.750 0.061 0.250
Nd1 0.500 0.811 0.000
Nd2 0.500 0.311 0.500
Pm1 0.000 0.310 0.000
Pm2 0.249 0.061 0.750
Pm3 0.751 0.561 0.750
Pm4 0.000 0.810 0.500
Pm5 0.751 0.561 0.250
Pm6 0.249 0.061 0.250

## Properties
ΔH_f (0 K) ... 0.01 eV per atom
Raw total energy ... -4.754 eV/atom
SG ... Pmna, No. 53



Compound: PmPr2Nd
Source: Alexandria via LeMat-Bulk
Functional: PBE-GGA
Structure: optimized geometry

Unit cell a=5.859 b=5.859 c=5.859 alpha=60.00 beta=60.00 gamma=60.00
Fractional positions:
Pr1 0.250 0.250 0.250
Pr2 0.750 0.750 0.750
Nd1 0.500 0.500 0.500
Pm1 0.000 0.000 0.000

## Properties
ΔH_f (0 K) ... 0.13 eV per atom
Raw total energy ... -4.641 eV/atom
SG ... Fm-3m, No. 225



Compound: Pm4Pr3Nd
Source: Alexandria via LeMat-Bulk
Functional: PBE-GGA
Structure: optimized geometry

Unit cell a=7.355 b=7.352 c=10.408 alpha=90.00 beta=90.00 gamma=90.00
Fractional positions:
Pr1 0.000 0.311 0.000
Pr2 0.250 0.061 0.750
Pr3 0.750 0.561 0.750
Pr4 0.000 0.811 0.500
Pr5 0.750 0.561 0.250
Pr6 0.250 0.061 0.250
Nd1 0.500 0.811 0.000
Nd2 0.500 0.311 0.500
Pm1 0.000 0.811 0.000
Pm2 0.500 0.310 0.000
Pm3 0.749 0.061 0.750
Pm4 0.251 0.561 0.750
Pm5 0.500 0.810 0.500
Pm6 0.000 0.311 0.500
Pm7 0.251 0.561 0.250
Pm8 0.749 0.061 0.250

## Properties
ΔH_f (0 K) ... 0.01 eV per atom
Raw total energy ... -4.750 eV/atom
SG ... Pmna, No. 53



Compound: Pm8Pr4Nd
Source: Alexandria via LeMat-Bulk
Functional: PBE-GGA
Structure: optimized geometry

Unit cell a=12.749 b=11.964 c=6.612 alpha=90.00 beta=138.59 gamma=117.98
Fractional positions:
Pm1 0.480 0.740 0.326
Pm2 0.520 0.260 0.674
Pm3 0.286 0.143 0.873
Pm4 0.178 0.333 0.007
Pm5 0.714 0.857 0.127
Pm6 0.178 0.845 0.007
Pm7 0.822 0.155 0.993
Pm8 0.822 0.667 0.993
Pr1 0.000 0.000 0.000
Pr2 0.000 0.500 0.000
Pr3 0.500 0.500 0.000
Pr4 0.500 0.000 0.000
Nd1 0.000 0.500 0.500

## Properties
ΔH_f (0 K) ... 0.23 eV per atom
Raw total energy ... -4.528 eV/atom
SG ... C2/m, No. 12



Compound: Pm6PrNd2
Source: Alexandria via LeMat-Bulk
Functional: PBE-GGA
Structure: optimized geometry

Unit cell a=8.283 b=8.283 c=10.605 alpha=90.00 beta=90.00 gamma=90.00
Fractional positions:
Pm1 0.738 0.738 0.167
Pm2 0.738 0.738 0.833
Pm3 0.737 0.737 0.500
Pm4 0.763 0.237 0.000
Pm5 0.762 0.238 0.333
Pm6 0.762 0.238 0.667
Pm7 0.238 0.762 0.333
Pm8 0.238 0.762 0.667
Pm9 0.237 0.763 0.000
Pm10 0.263 0.263 0.500
Pm11 0.262 0.262 0.167
Pm12 0.262 0.262 0.833
Pr1 0.500 0.500 0.000
Pr2 0.000 0.000 0.500
Nd1 0.500 0.500 0.333
Nd2 0.500 0.500 0.667
Nd3 0.000 0.000 0.167
Nd4 0.000 0.000 0.833

## Properties
ΔH_f (0 K) ... 0.62 eV per atom
Raw total energy ... -4.138 eV/atom
SG ... P4_2/mnm, No. 136



Compound: PmPr4Nd
Source: Alexandria via LeMat-Bulk
Functional: PBE-GGA
Structure: optimized geometry

Unit cell a=6.769 b=6.769 c=6.769 alpha=60.00 beta=60.00 gamma=60.00
Fractional positions:
Pr1 0.625 0.625 0.125
Pr2 0.625 0.125 0.625
Pr3 0.625 0.625 0.625
Pr4 0.125 0.625 0.625
Nd1 0.250 0.250 0.250
Pm1 0.000 0.000 0.000

## Properties
ΔH_f (0 K) ... 0.25 eV per atom
Raw total energy ... -4.525 eV/atom
SG ... F-43m, No. 216



Compound: Pm5PrNd
Source: Alexandria via LeMat-Bulk
Functional: PBE-GGA
Structure: optimized geometry

Unit cell a=6.971 b=6.971 c=13.916 alpha=61.65 beta=61.65 gamma=60.00
Fractional positions:
Pm1 0.163 0.401 0.749
Pm2 0.653 0.693 0.500
Pm3 0.401 0.163 0.249
Pm4 0.163 0.837 0.750
Pm5 0.307 0.347 0.000
Pm6 0.693 0.653 0.000
Pm7 0.837 0.163 0.250
Pm8 0.599 0.837 0.751
Pm9 0.347 0.307 0.500
Pm10 0.837 0.599 0.251
Pr1 0.000 0.000 0.000
Pr2 0.000 0.000 0.500
Nd1 0.722 0.278 0.750
Nd2 0.278 0.722 0.250

## Properties
ΔH_f (0 K) ... 0.16 eV per atom
Raw total energy ... -4.598 eV/atom
SG ... C2/c, No. 15



Compound: PmPr2Nd6
Source: Alexandria via LeMat-Bulk
Functional: PBE-GGA
Structure: optimized geometry

Unit cell a=3.681 b=3.681 c=27.500 alpha=90.00 beta=90.00 gamma=120.00
Fractional positions:
Pm1 0.333 0.667 0.000
Pr1 0.667 0.333 0.331
Pr2 0.667 0.333 0.669
Nd1 0.667 0.333 0.891
Nd2 0.333 0.667 0.437
Nd3 0.333 0.667 0.783
Nd4 0.333 0.667 0.217
Nd5 0.333 0.667 0.563
Nd6 0.667 0.333 0.109

## Properties
ΔH_f (0 K) ... 0.06 eV per atom
Raw total energy ... -4.707 eV/atom
SG ... P-6m2, No. 187